12
Lattice="-3.449 -1.772 -1.284 2.306 -1.482 -4.149 2.309 -7.316 3.896" Properties=species:S:1:pos:R:3 comment="TbMgCu10, optimized geometry, DFT PBE" formation_energy_mev_per_atom=-108 total_energy_ev_per_cell=-48.49 dos_ef_per_ev_cell=5.6 pbc="T T T"
Cu 1.565 -2.046 -1.380
Cu 0.579 -6.737 1.245
Cu 1.518 -4.810 2.562
Cu -0.572 -1.627 -2.716
Cu -0.570 -4.544 1.306
Cu 0.791 -2.506 1.335
Cu 3.050 -6.752 1.127
Cu 0.587 -3.834 -2.781
Cu 1.738 -7.481 -0.839
Cu -0.572 -3.089 -0.697
Mg 2.308 -4.399 -0.126
Tb 0.000 0.000 0.000